The following is a DFT calculation (PBE) of a geometry-optimized K3Ag2PdF9 structure.

Unit cell a=6.220 b=6.220 c=7.588 alpha=90.00 beta=90.00 gamma=120.00
Element x y z (fractional)
1 K 0.000 0.000 0.000
2 K 0.333 0.667 0.710
3 K 0.667 0.333 0.290
4 Ag 0.333 0.667 0.181
5 Ag 0.667 0.333 0.819
6 Pd 0.000 0.000 0.500
7 F 0.000 0.500 0.000
8 F 0.155 0.310 0.344
9 F 0.155 0.845 0.344
10 F 0.310 0.155 0.656
11 F 0.500 0.000 0.000
12 F 0.500 0.500 0.000
13 F 0.690 0.845 0.344
14 F 0.845 0.155 0.656
15 F 0.845 0.690 0.656

Results
**Calculated volume**: 16.95 Å³ per atom
**Magnetization**: 0.000 μB/f.u.
**Uncorrected formation energy**: -28.51 eV/f.u.
**Space-group type**: P-3m1 (164)